Entry 1:
A plane-wave DFT calculation with PBE-GGA was carried out for an optimized crystal structure of NaBeInBr4.

Unit cell a=6.962 b=7.266 c=8.801 alpha=90.00 beta=107.94 gamma=90.00
Fractional coordinates of all 14 atoms:
Na1 0.235 0.250 0.056
Na2 0.765 0.750 0.944
Be1 0.219 0.750 0.814
Be2 0.781 0.250 0.186
In1 0.258 0.250 0.575
In2 0.742 0.750 0.425
Br1 0.015 0.509 0.768
Br2 0.015 0.991 0.768
Br3 0.402 0.750 0.650
Br4 0.408 0.750 0.064
Br5 0.592 0.250 0.936
Br6 0.598 0.250 0.350
Br7 0.985 0.009 0.232
Br8 0.985 0.491 0.232

Values from the calculation:
energy relative to the elements, uncorrected: -1.066 eV per atom
magnetization: 0.00 μB/f.u.
VASP energy: -43.88 eV/cell
symmetry: No. 11



Entry 2:
A plane-wave DFT calculation with PBE-GGA was carried out for an optimized crystal structure of BeNbFe2Re.

Unit cell a=4.495 b=4.495 c=4.819 alpha=90.00 beta=90.00 gamma=90.00
Fractional coordinates of all 5 atoms:
Be1 0.000 0.000 0.000
Nb1 0.500 0.500 0.000
Fe1 0.000 0.500 0.500
Fe2 0.500 0.000 0.500
Re1 0.500 0.500 0.500

Values from the calculation:
magnetization: 4.17 μB/f.u.
E_form: 1.6302 eV/atom
VASP energy: -35.02 eV/cell
symmetry: No. 123